Here is a relaxed La2CePb2N2 crystal from Alexandria. Energies are from PBE-GGA.

## Properties
**Crystal system**: tetragonal
**Raw formation energy**: -0.86 eV per atom

a = 4.541 Å, b = 4.541 Å, c = 9.050 Å
α = 104.53°, β = 104.53°, γ = 90.00°
Fractional positions:
La (0.404, 0.404, 0.808)
La (0.596, 0.596, 0.192)
Ce (0.000, 0.000, 0.000)
Pb (0.212, 0.212, 0.423)
Pb (0.788, 0.788, 0.577)
N (0.000, 0.500, 0.000)
N (0.500, 0.000, 0.000)